Compound: TlCoHO2
Source: the Alexandria database
Functional: PBE+U
Structure: optimized geometry

Cell lengths 4.876, 5.129, 5.697 Å; angles 90.32, 90.00, 90.00 degrees
Site moments in Bohr magnetons follow the coordinates.
Element x y z (fractional)
Tl  0.173  0.500  0.750  -0.02
Tl  0.827  0.500  0.250  -0.02
Co  0.497  0.000  0.250  1.06
Co  0.503  0.000  0.750  1.06
H  0.000  0.000  0.000  0.00
H  0.000  0.000  0.500  0.00
O  0.752  0.999  0.001  0.00
O  0.752  0.001  0.499  0.00
O  0.248  0.999  0.501  0.00
O  0.248  0.001  0.999  0.00

Output
Size of the total moment: 2.0 μB/cell
Electronic total energy: -24.2 eV/f.u.
SG: P2/c, No. 13
Density of states at the Fermi level: 0.0349 states/eV per atom